Na2NbAlAg | PBE | optimized geometry

Summary:
volume	35.28	A^3/atom
final energy	-12.148	eV/cell
ΔH_f (0 K)	1.43	eV/atom

Cell lengths 5.8072, 5.8072, 5.2302 Å; angles 90.00, 90.00, 90.00 degrees
Closest atoms and distances in Å follow each position.
Space group P4/mmm (No. 123)
Inequivalent atoms, fractional coordinates:
Na 0.0000 0.5000 0.0000 (multiplicity 2)  2 Nb 2.90
Nb 0.0000 0.0000 0.0000 (multiplicity 1)  2 Ag 2.62, 4 Na 2.90
Al 0.5000 0.5000 0.5000 (multiplicity 1)  8 Na 3.91, 4 Ag 4.11
Ag 0.0000 0.0000 0.5000 (multiplicity 1)  2 Nb 2.62